## w
The following is a DFT calculation (GGA-PBE) of a relaxed Li3ErCl6 crystal.

a = 6.6105 Å, b = 6.6579 Å, c = 12.1723 Å
α = 90.00°, β = 122.89°, γ = 90.00°
Space group P2_1/c (No. 14)
Inequivalent atoms, fractional coordinates:
Li (0.0000, 0.0000, 0.0000) (multiplicity 2)
Li (0.2178, 0.0189, 0.7323) (multiplicity 4)
Er (0.5000, 0.0000, 0.5000) (multiplicity 2)
Cl (0.1306, 0.1097, 0.2665) (multiplicity 4)
Cl (0.2174, 0.6796, 0.0588) (multiplicity 4)
Cl (0.4319, 0.1715, 0.0932) (multiplicity 4)

Properties
The value obtained for the magnetization is 0.0 μB/f.u.

## x
The following is a DFT calculation (GGA-PBE) of a relaxed Li3ErCl6 crystal.

a = 11.1474 Å, b = 11.1474 Å, c = 6.1334 Å
α = 90.00°, β = 90.00°, γ = 120.00°
Space group P321 (No. 150)
Inequivalent atoms, fractional coordinates:
Li (0.0000, 0.3424, 0.0000) (multiplicity 3)
Li (0.0000, 0.6623, 0.0000) (multiplicity 3)
Li (0.0000, 0.6794, 0.5000) (multiplicity 3)
Er (0.0000, 0.0000, 0.0000) (multiplicity 1)
Er (0.3333, 0.6667, 0.5079) (multiplicity 2)
Cl (0.1083, 0.5613, 0.7532) (multiplicity 6)
Cl (0.1141, 0.8840, 0.7727) (multiplicity 6)
Cl (0.2128, 0.7716, 0.2669) (multiplicity 6)

Properties
The value obtained for the magnetization is 0.0 μB/f.u.

Referenced to the most stable arrangement, the calculated values in meV per atom are w 24; x 0.